VASP calculation (SCAN) on GaPS4 at its PBEsol-relaxed geometry.

Properties
- uncorrected formation energy (meV per atom) = -507
- magnetization (μB/cell) = 0.00

Structure (extended XYZ):
```
24
Lattice="7.884 0.000 0.000 0.000 8.226 -0.238 0.000 0.467 8.634" Properties=species:S:1:pos:R:3 pbc="T T T"
Ga 3.647 6.567 5.113
Ga 7.589 6.472 7.481
Ga 4.238 2.126 3.283
Ga 0.295 2.220 0.915
P 2.064 0.262 3.009
P 1.878 4.608 7.207
P 5.821 8.430 5.387
P 6.006 4.084 1.189
S 4.092 8.341 6.496
S 0.150 4.697 6.098
S 3.792 0.351 1.900
S 7.735 3.995 2.298
S 5.748 6.742 4.204
S 1.805 6.296 8.389
S 2.137 1.950 4.192
S 6.079 2.396 0.006
S 1.799 6.727 3.807
S 5.741 5.845 0.153
S 6.085 1.965 4.589
S 2.143 2.848 8.243
S 0.353 0.152 1.867
S 3.589 4.498 6.064
S 7.532 8.541 6.529
S 4.295 4.195 2.331
```